1.
An optimized crystal structure of Ho2Zn15Hg2, computed with PBE.

Output
E_form	-18.17	kJ/mol of atoms
space-group type	R-3m
DFT total energy	-1.708	eV per atom
crystal system	trigonal

Cell lengths 6.885, 6.885, 6.885 Å; angles 83.05, 83.05, 83.05 degrees
Fractional coordinates of all 19 atoms:
1 Zn 0.355 0.355 0.829
2 Zn 0.645 0.171 0.645
3 Zn 0.000 0.306 0.694
4 Zn 0.694 0.306 0.000
5 Zn 0.306 0.000 0.694
6 Zn 0.355 0.829 0.355
7 Zn 0.000 0.694 0.306
8 Zn 0.000 0.500 0.000
9 Zn 0.694 0.000 0.306
10 Zn 0.829 0.355 0.355
11 Zn 0.645 0.645 0.171
12 Zn 0.306 0.694 0.000
13 Zn 0.000 0.000 0.500
14 Zn 0.500 0.000 0.000
15 Zn 0.171 0.645 0.645
16 Hg 0.109 0.109 0.109
17 Hg 0.891 0.891 0.891
18 Ho 0.658 0.658 0.658
19 Ho 0.342 0.342 0.342

=====

2.
An optimized crystal structure of MgTc3Hg, computed with PBE.

Output
E_form	189.96	kJ/mol of atoms
space-group type	Pm-3m
DFT total energy	-4.630	eV per atom
crystal system	cubic
ΔE to the lowest computed polymorph	0	meV/atom

Cell lengths 4.528, 4.528, 4.528 Å; angles 90.00, 90.00, 90.00 degrees
Fractional coordinates of all 5 atoms:
1 Tc 0.000 0.500 0.000
2 Tc 0.000 0.000 0.500
3 Tc 0.500 0.000 0.000
4 Hg 0.500 0.500 0.500
5 Mg 0.000 0.000 0.000

=====

3.
An optimized crystal structure of LaSmGd, computed with PBE.

Output
E_form	9.50	kJ/mol of atoms
space-group type	I4mm
DFT total energy	-7.811	eV per atom
crystal system	tetragonal
ΔE to the lowest computed polymorph	80	meV/atom

Cell lengths 4.255, 4.255, 6.514 Å; angles 109.06, 109.06, 90.00 degrees
Last column: magnetic moment on the atom in μB.
Fractional coordinates of all 3 atoms:
1 Sm 0.658 0.658 0.317  0.11
2 La 0.336 0.336 0.672  0.10
3 Gd 0.006 0.006 0.012  7.29